Record 1
5
Lattice="5.2789 0.0000 0.0000 0.0000 5.2789 0.0000 0.0000 0.0000 5.2789" Properties=species:S:1:pos:R:3 comment="AlRhPb3 | Alexandria | PBE | optimized geometry" crystal_system=cubic e_form_ev_per_atom=0.882 magnetic_moment_mub_per_fu=0.00 polymorph_energy_mev_per_atom=595 pbc="T T T"
Al 0.0000 0.0000 0.0000
Rh 2.6395 2.6395 2.6395
Pb 0.0000 0.0000 2.6395
Pb 0.0000 2.6395 0.0000
Pb 2.6395 0.0000 0.0000

=====

Record 2
5
Lattice="4.9247 0.0000 0.0000 0.0000 4.9247 0.0000 0.0000 0.0000 5.1917" Properties=species:S:1:pos:R:3 comment="AlTeRh2Pb | Alexandria | PBE | optimized geometry" crystal_system=tetragonal magnetic_moment_mub_per_fu=0.00 formation_energy_uncorrected_ev_per_atom=0.64 pbc="T T T"
Al 0.0000 0.0000 0.0000
Te 0.0000 0.0000 2.5958
Rh 0.0000 2.4624 2.5958
Rh 2.4624 0.0000 2.5958
Pb 2.4624 2.4624 0.0000

=====

Record 3
5
Lattice="4.4622 0.0000 0.0000 0.0000 4.4622 0.0000 0.0000 0.0000 4.6954" Properties=species:S:1:pos:R:3 comment="AlVRh2Pb | Alexandria | PBE | optimized geometry" crystal_system=tetragonal e_form_ev_per_atom=0.555 magnetic_moment_mub_per_fu=0.00 pbc="T T T"
Al 0.0000 0.0000 0.0000
V 0.0000 0.0000 2.3477
Rh 0.0000 2.2311 0.0000
Rh 2.2311 0.0000 0.0000
Pb 2.2311 2.2311 2.3477

=====

Record 4
5
Lattice="5.2147 0.0000 0.0000 0.0000 5.2147 0.0000 0.0000 0.0000 4.6776" Properties=species:S:1:pos:R:3 comment="AlRhPb2W | Alexandria | PBE | optimized geometry" crystal_system=tetragonal e_form_ev_per_atom=1.098 magnetic_moment_mub_per_fu=3.56 pbc="T T T"
Al 0.0000 0.0000 0.0000
Rh 0.0000 0.0000 2.3388
Pb 0.0000 2.6074 2.3388
Pb 2.6074 0.0000 2.3388
W 2.6074 2.6074 0.0000

=====

Record 5
5
Lattice="5.6745 0.0000 0.0000 0.0000 5.6745 0.0000 0.0000 0.0000 4.9749" Properties=species:S:1:pos:R:3 comment="Y2AlRhPb | Alexandria | PBE | optimized geometry" crystal_system=tetragonal e_form_ev_per_atom=0.590 magnetic_moment_mub_per_fu=0.00 pbc="T T T"
Y 0.0000 2.8372 0.0000
Y 2.8372 0.0000 0.0000
Al 0.0000 0.0000 2.4874
Rh 2.8372 2.8372 2.4874
Pb 2.8372 2.8372 0.0000

=====

Record 6
5
Lattice="4.5503 0.0000 0.0000 0.0000 4.5503 0.0000 0.0000 0.0000 5.1840" Properties=species:S:1:pos:R:3 comment="AlZnRh2Pb | Alexandria | PBE | optimized geometry" crystal_system=tetragonal e_form_ev_per_atom=0.583 magnetic_moment_mub_per_fu=0.00 pbc="T T T"
Al 0.0000 0.0000 0.0000
Zn 2.2751 2.2751 2.5920
Rh 0.0000 2.2751 0.0000
Rh 2.2751 0.0000 0.0000
Pb 0.0000 0.0000 2.5920

=====

Record 7
5
Lattice="5.2554 0.0000 0.0000 0.0000 5.2554 0.0000 0.0000 0.0000 4.6061" Properties=species:S:1:pos:R:3 comment="ZrAlRhPb2 | Alexandria | PBE | optimized geometry" crystal_system=tetragonal e_form_ev_per_atom=0.390 magnetic_moment_mub_per_fu=0.00 pbc="T T T"
Zr 0.0000 0.0000 0.0000
Al 2.6277 2.6277 0.0000
Rh 2.6277 2.6277 2.3030
Pb 0.0000 2.6277 2.3030
Pb 2.6277 0.0000 2.3030

=====

Record 8
4
Lattice="1.5716 0.9074 9.1051 -1.5716 0.9074 9.1051 0.0000 -1.8147 9.1051" Properties=species:S:1:pos:R:3 comment="Al2RuPb | Alexandria | PBE | optimized geometry" crystal_system=trigonal e_form_ev_per_atom=-0.018 magnetic_moment_mub_per_fu=0.00 pbc="T T T"
Al 0.0000 0.0000 6.2896
Al 0.0000 0.0000 21.0256
Ru 0.0000 0.0000 13.6576
Pb 0.0000 0.0000 0.0000

=====

Record 9
4
Lattice="3.3287 0.0000 0.0000 0.0000 4.3951 0.0000 -1.6624 0.0000 5.1566" Properties=species:S:1:pos:R:3 comment="Al2RuPb | Alexandria | PBE | optimized geometry" crystal_system=monoclinic e_form_ev_per_atom=0.139 magnetic_moment_mub_per_fu=0.00 pbc="T T T"
Al -0.0356 0.0000 1.4775
Al 1.7019 0.0000 3.6791
Ru -0.8312 2.1976 2.5783
Pb 1.6643 2.1976 0.0000

=====

Record 10
8
Lattice="-2.1283 2.1283 8.8533 2.1283 -2.1283 8.8533 2.1283 2.1283 -8.8533" Properties=species:S:1:pos:R:3 comment="Al2RuPb | Alexandria | PBE | optimized geometry" crystal_system=tetragonal e_form_ev_per_atom=0.308 magnetic_moment_mub_per_fu=0.00 pbc="T T T"
Al 3.1925 0.7797 -2.2133
Al 0.7797 1.0642 2.2133
Al -1.0642 1.3486 6.6400
Al 1.3486 1.0642 11.0667
Ru 0.0000 0.0000 0.0000
Ru 0.0000 2.1283 4.4267
Pb 2.1283 0.0000 4.4267
Pb 0.0000 0.0000 8.8533

=====

Record 11
4
Lattice="3.3828 0.0000 0.0000 0.0000 4.5985 0.0000 0.0000 0.0000 4.6319" Properties=species:S:1:pos:R:3 comment="Al2RuPb | Alexandria | PBE | optimized geometry" crystal_system=orthorhombic e_form_ev_per_atom=0.325 magnetic_moment_mub_per_fu=0.00 pbc="T T T"
Al 0.0000 0.0000 0.0000
Al 1.6914 0.0000 2.3160
Ru 0.0000 2.2993 2.3160
Pb 1.6914 2.2993 0.0000

=====

Record 12
4
Lattice="4.3188 -1.6079 0.0000 4.3188 1.6079 0.0000 -0.7507 0.0000 5.6773" Properties=species:S:1:pos:R:3 comment="Al2RuPb | Alexandria | PBE | optimized geometry" crystal_system=monoclinic e_form_ev_per_atom=0.008 magnetic_moment_mub_per_fu=0.00 pbc="T T T"
Al 0.0000 0.0000 0.0000
Al 1.5831 0.0000 4.3629
Ru 4.0284 0.0000 3.8451
Pb 6.5406 0.0000 1.9285

=====

Record 13
5
Lattice="5.2714 0.0000 0.0000 0.0000 5.2714 0.0000 0.0000 0.0000 5.2714" Properties=species:S:1:pos:R:3 comment="AlRuPb3 | Alexandria | PBE | optimized geometry" crystal_system=cubic e_form_ev_per_atom=0.470 magnetic_moment_mub_per_fu=0.00 polymorph_energy_mev_per_atom=0 pbc="T T T"
Al 0.0000 0.0000 0.0000
Ru 2.6357 2.6357 2.6357
Pb 0.0000 2.6357 2.6357
Pb 2.6357 0.0000 2.6357
Pb 2.6357 2.6357 0.0000

=====

Record 14
4
Lattice="4.1720 -1.6490 0.0000 4.1720 1.6490 0.0000 -1.3077 0.0000 5.6677" Properties=species:S:1:pos:R:3 comment="Al2RuPb | Alexandria | PBE | optimized geometry" crystal_system=monoclinic e_form_ev_per_atom=0.044 magnetic_moment_mub_per_fu=0.00 pbc="T T T"
Al 1.6770 0.0000 0.9593
Al 5.3593 0.0000 4.7085
Ru 4.1720 0.0000 0.0000
Pb -0.6539 0.0000 2.8339

=====

Record 15
4
Lattice="2.7494 -3.9591 0.0000 2.7494 3.9591 0.0000 0.0000 0.0000 3.2691" Properties=species:S:1:pos:R:3 comment="Al2RuPb | Alexandria | PBE | optimized geometry" crystal_system=orthorhombic e_form_ev_per_atom=0.240 magnetic_moment_mub_per_fu=0.00 pbc="T T T"
Al 1.3747 1.9795 0.0000
Al 1.3747 -1.9795 0.0000
Ru 0.0000 0.0000 1.6345
Pb 2.7494 0.0000 1.6345

=====

Record 16
5
Lattice="5.3246 0.0000 0.0000 0.0000 5.3246 0.0000 0.0000 0.0000 5.3246" Properties=species:S:1:pos:R:3 comment="AlRuPb3 | Alexandria | PBE | optimized geometry" crystal_system=cubic e_form_ev_per_atom=1.168 magnetic_moment_mub_per_fu=2.10 polymorph_energy_mev_per_atom=698 pbc="T T T"
Al 0.0000 0.0000 0.0000
Ru 2.6623 2.6623 2.6623
Pb 0.0000 0.0000 2.6623
Pb 0.0000 2.6623 0.0000
Pb 2.6623 0.0000 0.0000

=====

Record 17
4
Lattice="3.0536 0.0000 0.0000 0.0000 3.0536 0.0000 0.0000 0.0000 8.3079" Properties=species:S:1:pos:R:3 comment="Al2RuPb | Alexandria | PBE | optimized geometry" crystal_system=tetragonal e_form_ev_per_atom=-0.203 magnetic_moment_mub_per_fu=0.00 pbc="T T T"
Al 0.0000 0.0000 1.3953
Al 0.0000 0.0000 6.9126
Ru 1.5268 1.5268 0.0000
Pb 1.5268 1.5268 4.1540

=====

Record 18
4
Lattice="-1.6398 2.4150 4.6055 1.6398 -2.4150 4.6055 1.6398 2.4150 -4.6055" Properties=species:S:1:pos:R:3 comment="Al2RuPb | Alexandria | PBE | optimized geometry" crystal_system=orthorhombic e_form_ev_per_atom=0.208 magnetic_moment_mub_per_fu=0.00 pbc="T T T"
Al 0.0000 0.0000 0.0000
Al 0.0000 2.4150 2.2385
Ru 0.0000 0.0000 4.9494
Pb 1.6398 0.0000 2.5297

=====

Record 19
5
Lattice="4.7799 0.0000 0.0000 0.0000 4.7799 0.0000 0.0000 0.0000 4.7799" Properties=species:S:1:pos:R:3 comment="Al3RuPb | Alexandria | PBE | optimized geometry" crystal_system=cubic e_form_ev_per_atom=0.034 magnetic_moment_mub_per_fu=0.00 polymorph_energy_mev_per_atom=0 pbc="T T T"
Al 0.0000 0.0000 2.3900
Al 0.0000 2.3900 0.0000
Al 2.3900 0.0000 0.0000
Ru 0.0000 0.0000 0.0000
Pb 2.3900 2.3900 2.3900

=====

Record 20
4
Lattice="4.7703 0.0000 0.0000 0.0000 3.2801 0.0000 -1.8225 0.0000 4.5788" Properties=species:S:1:pos:R:3 comment="Al2RuPb | Alexandria | PBE | optimized geometry" crystal_system=monoclinic e_form_ev_per_atom=0.242 magnetic_moment_mub_per_fu=0.00 pbc="T T T"
Al 0.0000 0.0000 0.0000
Al -0.9112 1.6401 2.2894
Ru 1.4739 0.0000 2.2894
Pb 2.3852 1.6401 0.0000

=====

Record 21
5
Lattice="4.4957 0.0000 0.0000 0.0000 4.4957 0.0000 0.0000 0.0000 4.4957" Properties=species:S:1:pos:R:3 comment="AlRu3Pb | Alexandria | PBE | optimized geometry" crystal_system=cubic e_form_ev_per_atom=0.872 magnetic_moment_mub_per_fu=0.98 polymorph_energy_mev_per_atom=0 pbc="T T T"
Al 0.0000 0.0000 0.0000
Ru 0.0000 0.0000 2.2479
Ru 0.0000 2.2479 0.0000
Ru 2.2479 0.0000 0.0000
Pb 2.2479 2.2479 2.2479

=====

Record 22
4
Lattice="3.3214 0.0000 0.0000 0.0000 3.3214 0.0000 0.0000 0.0000 6.8811" Properties=species:S:1:pos:R:3 comment="Al2RuPb | Alexandria | PBE | optimized geometry" crystal_system=tetragonal e_form_ev_per_atom=0.003 magnetic_moment_mub_per_fu=0.00 pbc="T T T"
Al 0.0000 0.0000 0.0000
Al 1.6607 1.6607 1.5905
Ru 1.6607 1.6607 5.9538
Pb 0.0000 0.0000 3.7658

=====

Record 23
4
Lattice="-2.0686 2.0686 4.1075 2.0686 -2.0686 4.1075 2.0686 2.0686 -4.1075" Properties=species:S:1:pos:R:3 comment="Al2RuPb | Alexandria | PBE | optimized geometry" crystal_system=tetragonal e_form_ev_per_atom=0.237 magnetic_moment_mub_per_fu=0.00 pbc="T T T"
Al 0.0000 0.0000 0.0000
Al 0.0000 2.0686 2.0537
Ru 0.0000 0.0000 4.1075
Pb 2.0686 0.0000 2.0537

=====

Record 24
5
Lattice="4.9268 0.0000 0.0000 0.0000 4.9268 0.0000 0.0000 0.0000 4.9268" Properties=species:S:1:pos:R:3 comment="AlRu3Pb | Alexandria | PBE | optimized geometry" crystal_system=cubic e_form_ev_per_atom=2.052 magnetic_moment_mub_per_fu=3.02 polymorph_energy_mev_per_atom=1180 pbc="T T T"
Al 0.0000 0.0000 0.0000
Ru 0.0000 2.4634 2.4634
Ru 2.4634 0.0000 2.4634
Ru 2.4634 2.4634 0.0000
Pb 2.4634 2.4634 2.4634

=====

Record 25
4
Lattice="4.6540 0.0000 0.0000 0.0000 4.6540 0.0000 0.0000 0.0000 3.2759" Properties=species:S:1:pos:R:3 comment="Al2RuPb | Alexandria | PBE | optimized geometry" crystal_system=tetragonal e_form_ev_per_atom=0.256 magnetic_moment_mub_per_fu=0.00 pbc="T T T"
Al 0.0000 2.3270 0.0000
Al 2.3270 0.0000 0.0000
Ru 0.0000 0.0000 1.6379
Pb 2.3270 2.3270 1.6379

=====

Record 26
4
Lattice="4.1832 0.0000 0.0000 0.0000 4.1832 0.0000 0.0000 0.0000 4.0293" Properties=species:S:1:pos:R:3 comment="Al2RuPb | Alexandria | PBE | optimized geometry" crystal_system=tetragonal e_form_ev_per_atom=0.296 magnetic_moment_mub_per_fu=0.00 pbc="T T T"
Al 0.0000 2.0916 0.0000
Al 2.0916 0.0000 0.0000
Ru 0.0000 0.0000 2.0146
Pb 2.0916 2.0916 2.0146

=====

Record 27
6
Lattice="0.0000 3.7575 3.7575 3.7575 0.0000 3.7575 3.7575 3.7575 0.0000" Properties=species:S:1:pos:R:3 comment="Al4RuPb | Alexandria | PBE | optimized geometry" crystal_system=cubic e_form_ev_per_atom=0.242 magnetic_moment_mub_per_fu=0.00 pbc="T T T"
Al 2.8264 2.8264 2.8264
Al 4.6887 4.6887 2.8264
Al 4.6887 2.8264 4.6887
Al 2.8264 4.6887 4.6887
Ru 5.6363 5.6363 5.6363
Pb 0.0000 0.0000 0.0000

=====

Record 28
4
Lattice="-2.0609 2.0609 4.1109 2.0609 -2.0609 4.1109 2.0609 2.0609 -4.1109" Properties=species:S:1:pos:R:3 comment="Al2RuPb | Alexandria | PBE | optimized geometry" crystal_system=tetragonal e_form_ev_per_atom=0.225 magnetic_moment_mub_per_fu=0.00 pbc="T T T"
Al 2.0609 0.0000 2.0554
Al 0.0000 2.0609 2.0554
Ru 0.0000 0.0000 0.0000
Pb 0.0000 0.0000 4.1109

=====

Record 29
4
Lattice="3.3341 0.0000 0.0000 1.5707 4.3961 0.0000 1.6622 0.9020 5.1957" Properties=species:S:1:pos:R:3 comment="Al2RuPb | Alexandria | PBE | optimized geometry" crystal_system=triclinic e_form_ev_per_atom=0.010 magnetic_moment_mub_per_fu=0.00 pbc="T T T"
Al 0.8178 0.4471 0.9217
Al 5.7493 4.8510 4.2739
Ru 2.4524 2.1980 0.0000
Pb 3.2835 2.6490 2.5978

=====

Record 30
4
Lattice="3.3819 0.0000 0.0000 0.0000 4.2799 0.0000 -1.6763 0.0000 5.1518" Properties=species:S:1:pos:R:3 comment="Al2RuPb | Alexandria | PBE | optimized geometry" crystal_system=monoclinic e_form_ev_per_atom=0.020 magnetic_moment_mub_per_fu=0.00 pbc="T T T"
Al 0.0000 0.0000 0.0000
Al 0.0137 2.1399 4.3937
Ru 0.0132 0.0000 3.1348
Pb 1.7069 2.1399 1.9642